# SmHg2

SmHg2 after structural relaxation (GGA-PBE, Alexandria via LeMat-Bulk).

Summary:
Fermi-level density of states, states/eV/cell: 1.89
Total magnetic moment, μB/cell: 0.2
VASP energy, eV per atom: -2.14
Calculated volume, Å³/cell: 78.32
Energy of formation from the pure elements, eV/atom: -0.36

Cell: 3.9161 3.9161 5.8096 Å, 109.70 109.70 90.00°
Fractional coordinates of all 3 atoms:
Hg  0.6692  0.6692  0.3384
Hg  0.3308  0.3308  0.6616
Sm  0.0000  0.0000  0.0000

---

# SmHg2

SmHg2 after structural relaxation (GGA-PBE, Alexandria via LeMat-Bulk).

Summary:
Fermi-level density of states, states/eV/cell: 3.07
Total magnetic moment, μB/cell: 0.0
VASP energy, eV per atom: -2.21
Calculated volume, Å³/cell: 153.80
Energy of formation from the pure elements, eV/atom: -0.44

Cell: 5.2463 5.2463 6.4532 Å, 90.00 90.00 120.01°
Fractional coordinates of all 6 atoms:
Hg  0.0000  0.5000  0.5000
Hg  0.6665  0.8335  0.2500
Hg  0.3335  0.1665  0.7500
Hg  0.0000  0.5000  0.0000
Sm  0.3332  0.1668  0.2500
Sm  0.6668  0.8332  0.7500

---

# SmHg2

SmHg2 after structural relaxation (GGA-PBE, Alexandria via LeMat-Bulk).

Summary:
Fermi-level density of states, states/eV/cell: 3.96
Total magnetic moment, μB/cell: 0.0
VASP energy, eV per atom: -2.03
Calculated volume, Å³/cell: 152.64
Energy of formation from the pure elements, eV/atom: -0.25

Cell: 5.9988 5.9988 5.9988 Å, 60.00 60.00 60.00°
Fractional coordinates of all 6 atoms:
Hg  0.6250  0.1250  0.6250
Hg  0.6250  0.6250  0.6250
Hg  0.6250  0.6250  0.1250
Hg  0.1250  0.6250  0.6250
Sm  0.0000  0.0000  0.0000
Sm  0.2500  0.2500  0.2500

---

# Sm2Hg3

Sm2Hg3 after structural relaxation (GGA-PBE, Alexandria via LeMat-Bulk).

Summary:
Fermi-level density of states, states/eV/cell: 17.34
Total magnetic moment, μB/cell: 0.0
VASP energy, eV per atom: -2.36
Calculated volume, Å³/cell: 586.49
Energy of formation from the pure elements, eV/atom: -0.29

Cell: 9.1333 9.1333 9.1333 Å, 109.47 109.47 109.47°
Fractional coordinates of all 20 atoms:
Hg  0.2500  0.5137  0.7637
Hg  0.4863  0.7363  0.2500
Hg  0.2363  0.2500  0.9863
Hg  0.0137  0.7637  0.7500
Hg  0.7500  0.9863  0.7363
Hg  0.9863  0.7500  0.2363
Hg  0.7363  0.4863  0.7500
Hg  0.7637  0.0137  0.2500
Hg  0.2637  0.7500  0.5137
Hg  0.5137  0.2500  0.2637
Hg  0.2500  0.2363  0.4863
Hg  0.7500  0.2637  0.0137
Sm  0.0796  0.5000  0.0000
Sm  0.4204  0.9204  0.9204
Sm  0.5000  0.5796  0.5000
Sm  0.5000  0.0796  0.5000
Sm  0.0000  0.0000  0.5796
Sm  0.9204  0.4204  0.4204
Sm  0.5796  0.5000  0.0000
Sm  0.0000  0.0000  0.0796

---

# Sm4Hg

Sm4Hg after structural relaxation (GGA-PBE, Alexandria via LeMat-Bulk).

Summary:
Fermi-level density of states, states/eV/cell: 7.35
Total magnetic moment, μB/cell: 0.0
VASP energy, eV per atom: -3.58
Calculated volume, Å³/cell: 192.85
Energy of formation from the pure elements, eV/atom: 0.26
ΔE to the lowest computed polymorph, eV/f.u.: 2.17

Cell: 5.7775 5.7775 5.7775 Å, 90.00 90.00 90.00°
Fractional coordinates of all 5 atoms:
Sm  0.5000  0.5000  0.0000
Sm  0.0000  0.0000  0.0000
Sm  0.0000  0.5000  0.5000
Sm  0.5000  0.0000  0.5000
Hg  0.5000  0.5000  0.5000

---

# SmHg3

SmHg3 after structural relaxation (GGA-PBE, Alexandria via LeMat-Bulk).

Summary:
Fermi-level density of states, states/eV/cell: 5.56
Total magnetic moment, μB/cell: 0.0
VASP energy, eV per atom: -1.79
Calculated volume, Å³/cell: 198.91
Energy of formation from the pure elements, eV/atom: -0.38

Cell: 5.0635 6.7362 6.7357 Å, 120.03 90.00 90.00°
Fractional coordinates of all 8 atoms:
Hg  0.7500  0.9603  0.7897
Hg  0.7500  0.9604  0.2959
Hg  0.2500  0.7963  0.4604
Hg  0.7500  0.4536  0.7896
Hg  0.2500  0.2897  0.4603
Hg  0.2500  0.2895  0.9541
Sm  0.2500  0.7915  0.9581
Sm  0.7500  0.4585  0.2919

---

# SmHg3

SmHg3 after structural relaxation (GGA-PBE, Alexandria via LeMat-Bulk).

Summary:
Fermi-level density of states, states/eV/cell: 3.72
Total magnetic moment, μB/cell: 0.0
VASP energy, eV per atom: -1.76
Calculated volume, Å³/cell: 197.54
Energy of formation from the pure elements, eV/atom: -0.36

Cell: 5.1672 5.3761 7.1109 Å, 90.00 90.00 90.00°
Fractional coordinates of all 8 atoms:
Hg  0.0000  0.1919  0.2502
Hg  0.5000  0.8081  0.7502
Hg  0.0000  0.6955  0.5000
Hg  0.5000  0.8081  0.2498
Hg  0.0000  0.1919  0.7498
Hg  0.5000  0.3045  0.0000
Sm  0.0000  0.6885  0.0000
Sm  0.5000  0.3115  0.5000

---

# SmHg6

SmHg6 after structural relaxation (GGA-PBE, Alexandria via LeMat-Bulk).

Summary:
Fermi-level density of states, states/eV/cell: 6.49
Total magnetic moment, μB/cell: 0.0
VASP energy, eV per atom: -0.52
Calculated volume, Å³/cell: 245.68
Energy of formation from the pure elements, eV/atom: 0.41
ΔE to the lowest computed polymorph, eV/f.u.: 4.22

Cell: 6.8339 6.8339 6.8339 Å, 109.47 109.47 109.47°
Fractional coordinates of all 7 atoms:
Sm  0.0000  0.0000  0.0000
Hg  0.7500  0.2500  0.5000
Hg  0.5000  0.2500  0.7500
Hg  0.2500  0.5000  0.7500
Hg  0.2500  0.7500  0.5000
Hg  0.7500  0.5000  0.2500
Hg  0.5000  0.7500  0.2500

---

# SmHg2

SmHg2 after structural relaxation (GGA-PBE, Alexandria via LeMat-Bulk).

Summary:
Fermi-level density of states, states/eV/cell: 2.14
Total magnetic moment, μB/cell: 0.0
VASP energy, eV per atom: -2.19
Calculated volume, Å³/cell: 157.11
Energy of formation from the pure elements, eV/atom: -0.42

Cell: 11.6506 11.6506 15.5429 Å, 16.56 16.56 27.60°
Fractional coordinates of all 6 atoms:
Hg  0.2892  0.0398  0.9203
Hg  0.0398  0.2892  0.4203
Hg  0.9602  0.7108  0.5797
Hg  0.7108  0.9602  0.0797
Sm  0.6239  0.3761  0.2500
Sm  0.3761  0.6239  0.7500

---

# Sm6Hg5

Sm6Hg5 after structural relaxation (GGA-PBE, Alexandria via LeMat-Bulk).

Summary:
Fermi-level density of states, states/eV/cell: 14.09
Total magnetic moment, μB/cell: 2.1
VASP energy, eV per atom: -3.09
Calculated volume, Å³/cell: 318.08
Energy of formation from the pure elements, eV/atom: -0.37

Cell: 5.2990 7.6101 9.1497 Å, 114.57 106.83 90.00°
Fractional coordinates of all 11 atoms:
Sm  0.1631  0.4089  0.3262
Sm  0.5001  0.2453  0.0000
Sm  0.8369  0.0826  0.6738
Sm  0.4999  0.7547  0.0000
Sm  0.1631  0.9174  0.3262
Sm  0.8369  0.5911  0.6738
Hg  0.3320  0.3320  0.6639
Hg  0.0000  0.5000  0.0000
Hg  0.6680  0.6680  0.3361
Hg  0.3326  0.8326  0.6653
Hg  0.6674  0.1674  0.3347

---

# Sm5Hg

Sm5Hg after structural relaxation (GGA-PBE, Alexandria via LeMat-Bulk).

Summary:
Fermi-level density of states, states/eV/cell: 7.05
Total magnetic moment, μB/cell: 0.0
VASP energy, eV per atom: -4.07
Calculated volume, Å³/cell: 186.01
Energy of formation from the pure elements, eV/atom: -0.09
ΔE to the lowest computed polymorph, eV/f.u.: 0.33

Cell: 4.9397 4.8978 8.0691 Å, 107.67 90.00 90.00°
Fractional coordinates of all 6 atoms:
Sm  0.5000  0.1678  0.3357
Sm  0.5000  0.5000  0.0000
Sm  0.0000  0.3382  0.6764
Sm  0.5000  0.8322  0.6643
Sm  0.0000  0.6618  0.3236
Hg  0.0000  0.0000  0.0000

---

# Sm3Hg5

Sm3Hg5 after structural relaxation (GGA-PBE, Alexandria via LeMat-Bulk).

Summary:
Fermi-level density of states, states/eV/cell: 6.26
Total magnetic moment, μB/cell: 0.0
VASP energy, eV per atom: -2.40
Calculated volume, Å³/cell: 211.51
Energy of formation from the pure elements, eV/atom: -0.44

Cell: 5.1820 6.5150 6.5150 Å, 105.93 90.00 90.00°
Fractional coordinates of all 8 atoms:
Hg  0.0000  0.0000  0.0000
Hg  0.5000  0.7145  0.7145
Hg  0.0000  0.5000  0.0000
Hg  0.0000  0.0000  0.5000
Hg  0.5000  0.2855  0.2855
Sm  0.5000  0.2101  0.7899
Sm  0.0000  0.5000  0.5000
Sm  0.5000  0.7899  0.2101